Record 1
VASP calculation (PBE) on an optimized crystal structure of NiAg.

The structure in POSCAR format:
```
NiAg
1.0
4.9781 0.0330 -0.0300
2.7286 4.9133 -0.0324
-3.4944 -3.6904 2.3995
Ag Ni
2 2
Direct
0.9260 0.9859 0.9400
0.1573 0.7641 0.3933
0.4707 0.5215 0.9492
0.6127 0.2285 0.3842
```

Properties
Total energy   -8.11 eV/f.u.
Theoretical density   9.59 Mg/m³
DFT formation energy   0.26 eV/atom

***

Record 2
VASP calculation (PBE) on an optimized crystal structure of NiAg2.

The structure in POSCAR format:
```
NiAg2
1.0
-4.8279 -0.9330 0.9538
-3.3514 -3.1266 2.0203
-1.8941 2.0586 6.8570
Ni Ag
2 4
Direct
0.6891 0.6891 0.4216
0.3109 0.3109 0.5784
0.9920 0.9920 0.7157
0.6633 0.6633 0.9072
0.3367 0.3367 0.0928
0.0080 0.0080 0.2843
```

Properties
Total energy   -10.94 eV/f.u.
Theoretical density   9.75 Mg/m³
DFT formation energy   0.18 eV/atom
Energy above the most stable polymorph in this dataset   0.00 eV per formula unit

***

Record 3
VASP calculation (PBE) on an optimized crystal structure of Ni2Ag3.

The structure in POSCAR format:
```
Ni2Ag3
1.0
-6.9826 6.3381 6.3617
-8.8957 4.5330 5.4514
-7.3814 3.9354 7.7089
Ni Ag
2 3
Direct
0.6017 0.6017 0.6017
0.3983 0.3983 0.3983
0.0000 0.0000 0.0000
0.7961 0.7961 0.7961
0.2039 0.2039 0.2039
```

Properties
Total energy   -18.87 eV/f.u.
Theoretical density   9.69 Mg/m³
DFT formation energy   0.25 eV/atom

***

Record 4
VASP calculation (PBE) on an optimized crystal structure of NiAg.

The structure in POSCAR format:
```
NiAg
1.0
1.3996 4.8368 -0.0187
-1.3996 4.8368 -0.0187
0.0000 2.4510 6.4105
Ni Ag
3 3
Direct
0.3393 0.3393 0.3875
0.9406 0.9406 0.5878
0.2971 0.2971 0.8794
0.9691 0.9691 0.0436
0.6454 0.6454 0.2495
0.6418 0.6418 0.6855
```

Properties
Total energy   -8.12 eV/f.u.
Theoretical density   9.55 Mg/m³
DFT formation energy   0.25 eV/atom

***

Record 5
VASP calculation (PBE) on an optimized crystal structure of NiAg.

The structure in POSCAR format:
```
NiAg
1.0
-4.8527 0.7324 -1.8642
-3.4970 -3.8938 0.4116
3.1861 3.4426 2.3574
Ag Ni
2 2
Direct
0.9866 0.9866 0.0000
0.2634 0.7634 0.5000
0.5193 0.5193 0.0000
0.7307 0.2307 0.5000
```

Properties
Total energy   -8.10 eV/f.u.
Theoretical density   9.58 Mg/m³
DFT formation energy   0.27 eV/atom

***

Record 6
VASP calculation (PBE) on an optimized crystal structure of NiAg2.

The structure in POSCAR format:
```
NiAg2
1.0
4.4442 0.0000 0.0000
0.0000 4.4442 0.0000
0.0000 0.0000 2.7636
Ag Ni
2 1
Direct
0.0000 0.5000 0.5000
0.5000 0.0000 0.5000
0.0000 0.0000 0.0000
```

Properties
Total energy   -10.35 eV/f.u.
Theoretical density   8.35 Mg/m³
DFT formation energy   0.38 eV/atom
Energy above the most stable polymorph in this dataset   0.60 eV per formula unit

***

Record 7
VASP calculation (PBE) on an optimized crystal structure of NiAg.

The structure in POSCAR format:
```
NiAg
1.0
-1.1061 -2.3166 -3.6605
2.0475 -3.8776 1.8353
-4.7006 -1.3926 2.3017
Ni Ag
4 4
Direct
0.2500 0.0758 0.6264
0.7500 0.4242 0.1264
0.2500 0.5758 0.8736
0.7500 0.9242 0.3736
0.2500 0.0984 0.1238
0.7500 0.4016 0.6238
0.2500 0.5984 0.3762
0.7500 0.9016 0.8762
```

Properties
Total energy   -8.04 eV/f.u.
Theoretical density   9.61 Mg/m³
DFT formation energy   0.30 eV/atom

***

Record 8
VASP calculation (PBE) on an optimized crystal structure of NiAg.

The structure in POSCAR format:
```
NiAg
1.0
2.7410 0.0000 0.0000
-1.3705 2.3737 0.0000
0.0000 0.0000 4.4602
Ag Ni
1 1
Direct
0.0000 0.0000 0.0000
0.3333 0.6667 0.5000
```

Properties
Total energy   -8.01 eV/f.u.
Theoretical density   9.53 Mg/m³
DFT formation energy   0.31 eV/atom

***

Record 9
VASP calculation (PBE) on an optimized crystal structure of NiAg.

The structure in POSCAR format:
```
NiAg
1.0
4.3506 0.0000 0.0000
2.1753 3.7678 0.0000
2.1753 1.2559 3.5523
Ag Ni
2 2
Direct
0.0000 0.0000 0.0000
0.7500 0.7500 0.7500
0.2500 0.2500 0.2500
0.5000 0.5000 0.5000
```

Properties
Total energy   -7.93 eV/f.u.
Theoretical density   9.50 Mg/m³
DFT formation energy   0.35 eV/atom

***

Record 10
VASP calculation (PBE) on an optimized crystal structure of NiAg.

The structure in POSCAR format:
```
NiAg
1.0
6.9701 0.0000 0.0000
0.0000 6.9701 0.0000
0.0000 0.0000 6.9701
Ni Ag
6 6
Direct
0.2500 0.5000 0.0000
0.7500 0.5000 0.0000
0.5000 0.0000 0.2500
0.5000 0.0000 0.7500
0.0000 0.2500 0.5000
0.0000 0.7500 0.5000
0.2500 0.0000 0.5000
0.7500 0.0000 0.5000
0.0000 0.5000 0.2500
0.0000 0.5000 0.7500
0.5000 0.2500 0.0000
0.5000 0.7500 0.0000
```

Properties
Total energy   -5.90 eV/f.u.
Theoretical density   4.90 Mg/m³
DFT formation energy   1.36 eV/atom

***

Record 11
VASP calculation (PBE) on an optimized crystal structure of NiAg2.

The structure in POSCAR format:
```
NiAg2
1.0
-1.3855 1.3855 12.5915
1.3855 -1.3855 12.5915
1.3855 1.3855 -12.5915
Ni Ag
2 4
Direct
0.0000 0.0000 0.0000
0.7500 0.2500 0.5000
0.3246 0.8246 0.5000
0.1754 0.6754 0.5000
0.5746 0.5746 0.0000
0.4254 0.4254 0.0000
```

Properties
Total energy   -10.68 eV/f.u.
Theoretical density   9.43 Mg/m³
DFT formation energy   0.27 eV/atom
Energy above the most stable polymorph in this dataset   0.27 eV per formula unit

***

Record 12
VASP calculation (PBE) on an optimized crystal structure of NiAg.

The structure in POSCAR format:
```
NiAg
1.0
9.2806 0.0000 0.0000
0.0000 9.2806 0.0000
0.0000 0.0000 2.7845
Ni Ag
8 8
Direct
0.8514 0.5000 0.0000
0.1486 0.5000 0.0000
0.5000 0.1486 0.0000
0.5000 0.8514 0.0000
0.3514 0.0000 0.5000
0.6486 0.0000 0.5000
0.0000 0.6486 0.5000
0.0000 0.3514 0.5000
0.1536 0.1536 0.0000
0.1536 0.8464 0.0000
0.8464 0.1536 0.0000
0.8464 0.8464 0.0000
0.6536 0.6536 0.5000
0.6536 0.3464 0.5000
0.3464 0.6536 0.5000
0.3464 0.3464 0.5000
```

Properties
Total energy   -8.16 eV/f.u.
Theoretical density   9.23 Mg/m³
DFT formation energy   0.24 eV/atom